Entry from the Alexandria database: SbTe2HOs after structural relaxation (PBEsol).

Properties
Calculated total energy   -4.41 eV per atom
M_tot   0.036 μB/atom

Cell lengths 4.915, 4.915, 3.772 Å; angles 90.00, 90.00, 90.00 degrees
Fractional positions:
Sb1 0.000 0.000 0.000
Te1 0.000 0.500 0.500
Te2 0.500 0.000 0.500
H1 0.000 0.000 0.500
Os1 0.500 0.500 0.000